{
  "formula": "Ga2BiMoO8",
  "functional": "PBE with a Hubbard U",
  "state": "relaxed",
  "total_energy_ev_per_atom": -6.180,
  "dos_ef_per_ev_fu": 0.77,
  "spacegroup": "Cmmm, No. 65",
  "magmom_total_mub_per_fu": 0.0,
  "lattice_angstrom": [[3.3157, -3.3649, 0.0000], [3.3157, 3.3649, 0.0000], [0.0000, 0.0000, 6.4078]],
  "species": ["Ga", "Ga", "Bi", "Mo", "O", "O", "O", "O", "O", "O", "O", "O"],
  "frac_coords": [[0.0000, 0.0000, 0.2410], [0.0000, 0.0000, 0.7590], [0.5000, 0.5000, 0.5000], [0.5000, 0.5000, 0.0000], [0.1737, 0.1737, 0.5000], [0.2003, 0.2003, 0.0000], [0.3005, 0.6995, 0.2182], [0.3005, 0.6995, 0.7818], [0.6995, 0.3005, 0.2182], [0.6995, 0.3005, 0.7818], [0.7997, 0.7997, 0.0000], [0.8263, 0.8263, 0.5000]]
}